1.
# RbSNCl2

A geometry-optimized RbSNCl2 structure (PBE, Alexandria).

## Properties
uncorrected formation energy	1.129	eV per atom
energy relative to the lowest polymorph listed for this composition	1102.2	meV per atom
total magnetization	1.2077	μB per atom

Unit cell a=6.418 b=6.418 c=7.122 alpha=90.00 beta=90.00 gamma=90.00
Sites, in units of the cell vectors:
Rb  0.000  0.000  0.000
S  0.000  0.000  0.500
N  0.500  0.500  0.500
Cl  0.000  0.500  0.000
Cl  0.500  0.000  0.000



2.
# ScTaCr

A geometry-optimized ScTaCr structure (PBE, Alexandria).

## Properties
energy relative to the lowest polymorph listed for this composition	128.3	meV per atom
calculated formation energy	0.293	eV per atom
total magnetization	0.1365	μB per atom

Unit cell a=4.510 b=4.510 c=2.915 alpha=90.00 beta=90.00 gamma=120.00
Sites, in units of the cell vectors:
Sc  0.000  0.000  0.000
Ta  0.667  0.333  0.428
Cr  0.333  0.667  0.654



3.
# Ba2PbS2Cl2

A geometry-optimized Ba2PbS2Cl2 structure (PBE, Alexandria).

## Properties
uncorrected formation energy	-1.648	eV per atom
total magnetization	0.0000	μB per atom

Unit cell a=8.848 b=8.848 c=8.848 alpha=143.41 beta=143.41 gamma=52.71
Sites, in units of the cell vectors:
Ba  0.119  0.119  0.000
Ba  0.881  0.881  0.000
Pb  0.500  0.500  0.000
S  0.000  0.500  0.500
S  0.500  0.000  0.500
Cl  0.308  0.308  0.000
Cl  0.692  0.692  0.000



4.
# Tb3ZnRu

A geometry-optimized Tb3ZnRu structure (PBE, Alexandria).

## Properties
energy relative to the lowest polymorph listed for this composition	75.7	meV per atom
calculated formation energy	-0.256	eV per atom
total magnetization	0.0000	μB per atom

Unit cell a=7.979 b=5.811 c=11.015 alpha=90.00 beta=91.91 gamma=90.00
Sites, in units of the cell vectors:
Tb  0.028  0.123  0.352
Tb  0.028  0.377  0.852
Tb  0.260  0.585  0.425
Tb  0.260  0.915  0.925
Tb  0.380  0.103  0.624
Tb  0.380  0.397  0.124
Tb  0.620  0.603  0.876
Tb  0.620  0.897  0.376
Tb  0.740  0.085  0.075
Tb  0.740  0.415  0.575
Tb  0.972  0.623  0.148
Tb  0.972  0.877  0.648
Zn  0.322  0.603  0.701
Zn  0.322  0.897  0.201
Zn  0.678  0.103  0.799
Zn  0.678  0.397  0.299
Ru  0.086  0.155  0.097
Ru  0.086  0.345  0.597
Ru  0.914  0.655  0.403
Ru  0.914  0.845  0.903



5.
# CeMgNb4N8

A geometry-optimized CeMgNb4N8 structure (PBE, Alexandria).

## Properties
uncorrected formation energy	-0.873	eV per atom
total magnetization	0.0000	μB per atom

Unit cell a=6.566 b=6.566 c=6.566 alpha=57.04 beta=57.04 gamma=57.04
Sites, in units of the cell vectors:
Ce  0.000  0.000  0.000
Mg  0.623  0.623  0.623
Nb  0.375  0.375  0.375
Nb  0.513  0.995  0.995
Nb  0.995  0.513  0.995
Nb  0.995  0.995  0.513
N  0.214  0.748  0.748
N  0.247  0.247  0.247
N  0.256  0.256  0.757
N  0.256  0.757  0.256
N  0.748  0.214  0.748
N  0.748  0.748  0.214
N  0.757  0.256  0.256
N  0.762  0.762  0.762



6.
# ErLuTlNi

A geometry-optimized ErLuTlNi structure (PBE, Alexandria).

## Properties
calculated formation energy	-0.264	eV per atom
total magnetization	0.0001	μB per atom

Unit cell a=5.037 b=5.037 c=5.037 alpha=60.00 beta=60.00 gamma=60.00
Sites, in units of the cell vectors:
Er  0.000  0.000  0.000
Lu  0.500  0.500  0.500
Tl  0.750  0.750  0.750
Ni  0.250  0.250  0.250



7.
# CdIr3

A geometry-optimized CdIr3 structure (PBE, Alexandria).

## Properties
calculated formation energy	0.192	eV per atom
total magnetization	0.0000	μB per atom

Unit cell a=4.900 b=9.190 c=5.585 alpha=90.00 beta=90.00 gamma=90.00
Sites, in units of the cell vectors:
Cd  0.066  0.250  0.135
Cd  0.434  0.750  0.635
Cd  0.566  0.250  0.365
Cd  0.934  0.750  0.865
Ir  0.085  0.250  0.643
Ir  0.231  0.509  0.376
Ir  0.231  0.991  0.376
Ir  0.269  0.009  0.876
Ir  0.269  0.491  0.876
Ir  0.415  0.750  0.143
Ir  0.585  0.250  0.857
Ir  0.731  0.509  0.124
Ir  0.731  0.991  0.124
Ir  0.769  0.009  0.624
Ir  0.769  0.491  0.624
Ir  0.915  0.750  0.357



8.
# BaReTe2

A geometry-optimized BaReTe2 structure (PBE, Alexandria).

## Properties
uncorrected formation energy	-0.204	eV per atom
energy relative to the lowest polymorph listed for this composition	71.6	meV per atom
total magnetization	0.0000	μB per atom

Unit cell a=4.792 b=6.766 c=6.766 alpha=39.08 beta=90.00 gamma=90.00
Sites, in units of the cell vectors:
Ba  0.000  0.000  0.000
Re  0.500  0.791  0.791
Te  0.000  0.713  0.713
Te  0.500  0.397  0.397



9.
# Si2Se

A geometry-optimized Si2Se structure (PBE, Alexandria).

## Properties
uncorrected formation energy	0.172	eV per atom
energy relative to the lowest polymorph listed for this composition	340.8	meV per atom
total magnetization	0.0000	μB per atom

Unit cell a=5.968 b=5.968 c=5.120 alpha=90.00 beta=90.00 gamma=143.19
Sites, in units of the cell vectors:
Si  0.012  0.988  0.750
Si  0.352  0.648  0.250
Si  0.648  0.352  0.750
Si  0.988  0.012  0.250
Se  0.321  0.679  0.750
Se  0.679  0.321  0.250



10.
# KNaTlGe

A geometry-optimized KNaTlGe structure (PBE, Alexandria).

## Properties
calculated formation energy	0.027	eV per atom
total magnetization	0.0000	μB per atom

Unit cell a=5.422 b=5.422 c=5.422 alpha=60.00 beta=60.00 gamma=60.00
Sites, in units of the cell vectors:
K  0.000  0.000  0.000
Na  0.250  0.250  0.250
Tl  0.750  0.750  0.750
Ge  0.500  0.500  0.500



11.
# LiRuCl2

A geometry-optimized LiRuCl2 structure (PBE, Alexandria).

## Properties
uncorrected formation energy	-0.357	eV per atom
energy relative to the lowest polymorph listed for this composition	110.9	meV per atom
total magnetization	0.4260	μB per atom

Unit cell a=7.279 b=7.279 c=3.390 alpha=90.54 beta=90.54 gamma=26.88
Sites, in units of the cell vectors:
Li  0.000  0.000  0.000
Ru  0.347  0.347  0.491
Cl  0.533  0.533  0.501
Cl  0.800  0.800  0.990



12.
# As2RhAu

A geometry-optimized As2RhAu structure (PBE, Alexandria).

## Properties
calculated formation energy	0.116	eV per atom
total magnetization	0.0000	μB per atom

Unit cell a=5.015 b=5.015 c=4.161 alpha=111.51 beta=111.51 gamma=112.63
Sites, in units of the cell vectors:
As  0.000  0.500  0.000
As  0.500  0.000  0.000
Rh  0.000  0.000  0.500
Au  0.500  0.500  0.500



Number 1: calculated volume 58.67 Å³/atom. Number 2: calculated volume 17.12 Å³/atom. Number 3: calculated volume 34.95 Å³/atom. Number 4: calculated volume 25.52 Å³/atom. Number 5: calculated volume 13.32 Å³/atom. Number 6: calculated volume 22.59 Å³/atom. Number 7: calculated volume 15.72 Å³/atom. Number 8: calculated volume 34.58 Å³/atom. Number 9: calculated volume 18.21 Å³/atom. Number 10: calculated volume 28.18 Å³/atom. Number 11: calculated volume 20.30 Å³/atom. Number 12: calculated volume 18.12 Å³/atom.